Record 1
## TmScGa (PBE)

Data for a relaxed TmScGa crystal.

Computed properties:
**Distance to the lowest polymorph of the same formula**: 0.673 eV per atom

a = 4.8351 Å, b = 4.8351 Å, c = 4.8351 Å
α = 60.00°, β = 60.00°, γ = 60.00°
Closest atoms and distances in Å follow each position.
Sites, in units of the cell vectors:
Tm 0.0000 0.0000 0.0000  4 Sc 2.96, 4 Ga 2.96
Sc 0.2500 0.2500 0.2500  4 Tm 2.96
Ga 0.7500 0.7500 0.7500  4 Tm 2.96

***

Record 2
## Y2Ho2CBr4Cl (PBE)

Data for a relaxed Y2Ho2CBr4Cl crystal.

Computed properties:
**Final energy**: -54.6 eV per formula unit

a = 9.0808 Å, b = 9.0808 Å, c = 7.8907 Å
α = 102.35°, β = 102.35°, γ = 24.00°
Closest atoms and distances in Å follow each position.
Sites, in units of the cell vectors:
Y 0.0009 0.0009 0.2915  2 C 2.51
Y 0.9991 0.9991 0.7085  2 C 2.51
Ho 0.3629 0.3629 0.4285  1 C 2.38
Ho 0.6371 0.6371 0.5715  1 C 2.38
C 0.5000 0.5000 0.5000  2 Ho 2.38, 4 Y 2.51
Br 0.1640 0.1640 0.8456  2 Ho 2.83, 1 Y 2.89
Br 0.1705 0.1705 0.3235  2 Ho 2.87, 1 Y 2.97
Br 0.8295 0.8295 0.6765  2 Ho 2.87, 1 Y 2.97
Br 0.8360 0.8360 0.1544  2 Ho 2.83, 1 Y 2.89
Cl 0.5000 0.5000 0.0000  4 Y 2.97

***

Record 3
## LuMg2Zn (PBE)

Data for a relaxed LuMg2Zn crystal.

Computed properties:
**Final energy**: -9.4 eV per formula unit

a = 4.9200 Å, b = 4.9200 Å, c = 4.9200 Å
α = 60.00°, β = 60.00°, γ = 60.00°
Closest atoms and distances in Å follow each position.
Sites, in units of the cell vectors:
Lu 0.0000 0.0000 0.0000  4 Zn 3.01, 4 Mg 3.01
Mg 0.2500 0.2500 0.2500  4 Mg 3.01, 4 Lu 3.01
Mg 0.5000 0.5000 0.5000  4 Zn 3.01, 4 Mg 3.01
Zn 0.7500 0.7500 0.7500  4 Mg 3.01, 4 Lu 3.01

***

| no. | total magnetic moment (μB/cell) |
| --- | --- |
| 1 | 0.09 |
| 2 | 0.07 |
| 3 | 0.00 |